1.
Compound: Co3SnHg
Source: Alexandria via LeMat-Bulk
Functional: PBE-GGA
Structure: optimized geometry

Summary:
**Offset from the most stable computed form**: 0.0 meV per atom
**Total moment**: 4.57 μB per cell
**Space group**: Pm-3m

a b c (Å): 4.7179 4.7179 4.7179
angles (deg): 90.00 90.00 90.00
Fractional positions:
Co  0.0000  0.0000  0.5000
Co  0.0000  0.5000  0.0000
Co  0.5000  0.0000  0.0000
Sn  0.0000  0.0000  0.0000
Hg  0.5000  0.5000  0.5000

2.
Compound: CoSn2Hg2
Source: Alexandria via LeMat-Bulk
Functional: PBE-GGA
Structure: optimized geometry

Summary:
**Offset from the most stable computed form**: 0.0 meV per atom
**Total moment**: 0.00 μB per cell
**Space group**: P4/mbm

a b c (Å): 6.8081 6.8081 5.9835
angles (deg): 90.00 90.00 90.00
Fractional positions:
Co  0.0000  0.0000  0.0000
Co  0.5000  0.5000  0.0000
Sn  0.2334  0.2666  0.0000
Sn  0.2666  0.7666  0.0000
Sn  0.7334  0.2334  0.0000
Sn  0.7666  0.7334  0.0000
Hg  0.1711  0.3289  0.5000
Hg  0.3289  0.8289  0.5000
Hg  0.6711  0.1711  0.5000
Hg  0.8289  0.6711  0.5000

3.
Compound: Co2SnHg2
Source: Alexandria via LeMat-Bulk
Functional: PBE-GGA
Structure: optimized geometry

Summary:
**Offset from the most stable computed form**: 257.3 meV per atom
**Total moment**: 5.58 μB per cell
**Space group**: P4/mbm

a b c (Å): 7.8277 7.8277 2.9953
angles (deg): 90.00 90.00 90.00
Fractional positions:
Co  0.1537  0.3463  0.0000
Co  0.3463  0.8463  0.0000
Co  0.6537  0.1537  0.0000
Co  0.8463  0.6537  0.0000
Sn  0.0000  0.0000  0.5000
Sn  0.5000  0.5000  0.5000
Hg  0.1420  0.6420  0.5000
Hg  0.3580  0.1420  0.5000
Hg  0.6420  0.8580  0.5000
Hg  0.8580  0.3580  0.5000

4.
Compound: CoSn2Hg
Source: Alexandria via LeMat-Bulk
Functional: PBE-GGA
Structure: optimized geometry

Summary:
**Total moment**: 2.29 μB per cell
**Final energy**: -3.48 eV per atom
**Space group**: I-42d

a b c (Å): 9.1773 9.1773 9.1773
angles (deg): 150.16 150.16 42.70
Fractional positions:
Co  0.0000  0.0000  0.0000
Co  0.7500  0.2500  0.5000
Sn  0.0713  0.6250  0.9463
Sn  0.3750  0.3213  0.4463
Sn  0.6787  0.1250  0.0537
Sn  0.8750  0.9287  0.5537
Hg  0.2500  0.7500  0.5000
Hg  0.5000  0.5000  0.0000

5.
Compound: CoSn2Hg2
Source: Alexandria via LeMat-Bulk
Functional: PBE-GGA
Structure: optimized geometry

Summary:
**Offset from the most stable computed form**: 443.9 meV per atom
**Total moment**: 1.94 μB per cell
**Space group**: I4/mmm

a b c (Å): 8.4003 8.4003 8.4003
angles (deg): 152.06 152.06 39.92
Fractional positions:
Co  0.0000  0.0000  0.0000
Sn  0.2500  0.7500  0.5000
Sn  0.7500  0.2500  0.5000
Hg  0.4122  0.4122  0.0000
Hg  0.5878  0.5878  0.0000

6.
Compound: SrCoSnHg2
Source: Alexandria via LeMat-Bulk
Functional: PBE-GGA
Structure: optimized geometry

Summary:
**Total moment**: 0.59 μB per cell
**Final energy**: -2.85 eV per atom
**Space group**: P4/mmm

a b c (Å): 5.1315 5.1315 4.8674
angles (deg): 90.00 90.00 90.00
Fractional positions:
Sr  0.0000  0.0000  0.0000
Co  0.5000  0.5000  0.5000
Sn  0.5000  0.5000  0.0000
Hg  0.0000  0.5000  0.5000
Hg  0.5000  0.0000  0.5000